A plane-wave DFT calculation with PBE was carried out for a geometry-optimized RbCr2SnPd structure.

a = 5.309 Å, b = 5.309 Å, c = 5.060 Å
α = 90.00°, β = 90.00°, γ = 90.00°
Space group P4/mmm (No. 123)
Symmetry-distinct sites (fractional):
Rb1 0.000 0.000 0.000 [1 per cell]
Cr1 0.000 0.500 0.500 [2 per cell]
Sn1 0.500 0.500 0.000 [1 per cell]
Pd1 0.500 0.500 0.500 [1 per cell]

Computed properties:
* DFT formation energy: 0.6357 eV/atom
* raw total energy: -5.246 eV/atom